Crystalline DyThSc at its relaxed geometry. Source: Alexandria, functional PBE.

Results
- excess energy over the best structure of this formula in the dataset (eV per formula unit) = 4.44
- SG = P-6m2 (187)
- energy relative to the elements (eV/f.u.) = 4.57

Structure (POSCAR):
```
DyThSc
1.0
4.7949 0.0000 0.0000
-2.3974 4.1525 0.0000
0.0000 0.0000 5.6717
Dy Th Sc
1 1 1
direct
0.0000 0.0000 0.0000
0.3333 0.6667 0.5000
0.3333 0.6667 0.0000
```

Crystalline Zr7Ir2Au2 at its relaxed geometry. Source: Alexandria, functional PBE.

Results
- SG = Cmmm (65)
- energy relative to the elements (eV/f.u.) = -2.56

Structure (POSCAR):
```
Zr7Ir2Au2
1.0
3.8972 -4.9808 0.0000
3.8972 4.9808 0.0000
0.0000 0.0000 6.5142
Zr Ir Au
7 2 2
direct
0.0000 0.0000 0.0000
0.0000 0.5000 0.2616
0.0000 0.5000 0.7384
0.5000 0.0000 0.2616
0.5000 0.0000 0.7384
0.5000 0.5000 0.2588
0.5000 0.5000 0.7412
0.2803 0.7197 0.0000
0.7197 0.2803 0.0000
0.1772 0.1772 0.5000
0.8228 0.8228 0.5000
```

Crystalline AcHoPuTl at its relaxed geometry. Source: Alexandria, functional PBE.

Results
- SG = F-43m (216)
- energy relative to the elements (eV/f.u.) = 0.64

Structure (POSCAR):
```
AcHoPuTl
1.0
0.0000 3.9562 3.9562
3.9562 0.0000 3.9562
3.9562 3.9562 0.0000
Ac Ho Pu Tl
1 1 1 1
direct
0.0000 0.0000 0.0000
0.7500 0.7500 0.7500
0.2500 0.2500 0.2500
0.5000 0.5000 0.5000
```

Crystalline VMo2H at its relaxed geometry. Source: Alexandria, functional PBE.

Results
- excess energy over the best structure of this formula in the dataset (eV per formula unit) = 1.34
- SG = Fm-3m (225)

Structure (POSCAR):
```
VMo2H
1.0
0.0000 2.9583 2.9583
2.9583 0.0000 2.9583
2.9583 2.9583 0.0000
V Mo H
1 2 1
direct
0.0000 0.0000 0.0000
0.2500 0.2500 0.2500
0.7500 0.7500 0.7500
0.5000 0.5000 0.5000
```

Crystalline Sm2Be2GaRh5 at its relaxed geometry. Source: Alexandria, functional PBE.

Results
- SG = P4/mbm (127)
- energy relative to the elements (eV/f.u.) = -7.37

Structure (POSCAR):
```
Sm2Be2GaRh5
1.0
9.6590 0.0000 0.0000
0.0000 9.6590 0.0000
0.0000 0.0000 3.2922
Sm Be Ga Rh
4 4 2 10
direct
0.1769 0.3231 0.0000
0.3231 0.8231 0.0000
0.6769 0.1769 0.0000
0.8231 0.6769 0.0000
0.1205 0.6205 0.0000
0.3795 0.1205 0.0000
0.6205 0.8795 0.0000
0.8795 0.3795 0.0000
0.0000 0.0000 0.0000
0.5000 0.5000 0.0000
0.0000 0.5000 0.5000
0.0663 0.7884 0.5000
0.2116 0.0663 0.5000
0.2884 0.5663 0.5000
0.4337 0.2884 0.5000
0.5000 0.0000 0.5000
0.5663 0.7116 0.5000
0.7116 0.4337 0.5000
0.7884 0.9337 0.5000
0.9337 0.2116 0.5000
```

Crystalline Pr2DyEr5Tm at its relaxed geometry. Source: Alexandria, functional PBE.

Results
- SG = I4/mcm (140)
- energy relative to the elements (eV/f.u.) = 2.49

Structure (POSCAR):
```
Pr2DyEr5Tm
1.0
-4.2843 4.2843 7.8630
4.2843 -4.2843 7.8630
4.2843 4.2843 -7.8630
Pr Dy Er Tm
4 2 10 2
direct
0.1185 0.6185 0.7371
0.3815 0.1185 0.5000
0.6185 0.8815 0.5000
0.8815 0.3815 0.2629
0.2500 0.2500 0.0000
0.7500 0.7500 0.0000
0.0000 0.0000 0.0000
0.0725 0.1438 0.5000
0.1438 0.6438 0.0712
0.3562 0.4275 0.5000
0.4275 0.9275 0.0712
0.5000 0.5000 0.0000
0.5725 0.0725 0.9288
0.6438 0.5725 0.5000
0.8562 0.3562 0.9288
0.9275 0.8562 0.5000
0.2500 0.7500 0.5000
0.7500 0.2500 0.5000
```